No. 1
AcSc2F11 | PBE | relaxed

Results
raw formation energy: -3.359 eV per atom
E: -337.50 eV for the cell shown
crystal system: orthorhombic

Cell: 8.0646 10.1557 11.6439 Å, 90.00 90.00 90.00°
With the nearest neighbours (Å) after each atom.
Space group Ibam (No. 72)
Symmetry-distinct sites (fractional):
Ac1 0.0000 0.0000 0.2500 [4 per cell]  8 F 2.50-2.51
Sc1 0.1497 0.3138 0.0000 [8 per cell]  7 F 2.02-2.25
F1 0.0000 0.5000 0.0000 [4 per cell]  2 F 2.23, 2 Sc 2.24
F2 0.1098 0.2982 0.5000 [8 per cell]  2 Sc 2.10-2.25, 1 F 2.23
F3 0.1131 0.1835 0.1298 [16 per cell]  1 Sc 2.03
F4 0.2279 0.0827 0.3781 [16 per cell]  1 Sc 2.02

=====

No. 2
Pm3Zn4Si2 | PBE | relaxed

Results
raw formation energy: -0.541 eV per atom
E: -70.13 eV for the cell shown
crystal system: monoclinic

Cell: 10.8854 4.2885 8.5013 Å, 90.00 106.62 90.00°
With the nearest neighbours (Å) after each atom.
Space group C2/m (No. 12)
Symmetry-distinct sites (fractional):
Pm1 0.0000 0.0000 0.0000 [2 per cell]  8 Zn 3.03-3.28, 4 Si 3.14
Pm2 0.1732 0.5000 0.6542 [4 per cell]  7 Zn 3.06-3.29, 4 Si 3.10-3.29
Zn1 0.0308 0.0000 0.3662 [4 per cell]  2 Si 2.51, 1 Zn 2.55
Zn2 0.2379 0.5000 0.0727 [4 per cell]  1 Si 2.51, 2 Zn 2.53
Si1 0.1089 0.5000 0.2747 [4 per cell]  3 Zn 2.51

=====

No. 3
TbHo3Th4 | PBE | relaxed

Results
E: -93.86 eV for the cell shown
ΔH_f (0 K): 0.14 eV/atom
crystal system: orthorhombic

Cell: 3.4245 11.3544 13.1812 Å, 90.00 90.00 90.00°
With the nearest neighbours (Å) after each atom.
Space group Immm (No. 71)
Symmetry-distinct sites (fractional):
Tb1 0.0000 0.0000 0.0000 [2 per cell]  4 Th 3.34, 2 Tb 3.42, 4 Ho 3.54
Ho1 0.0000 0.0000 0.5000 [2 per cell]  2 Ho 3.42, 8 Th 3.71
Ho2 0.0000 0.5000 0.2647 [4 per cell]  6 Th 3.32-3.62, 2 Ho 3.42, 2 Tb 3.54
Th1 0.0000 0.2526 0.1300 [8 per cell]  5 Ho 3.32-3.71, 1 Tb 3.34, 5 Th 3.42-3.60

=====

No. 4
InRe3C | PBE | relaxed

Results
E: -46.86 eV for the cell shown
ΔH_f (0 K): 0.49 eV/atom
crystal system: cubic
excess energy over the best structure of this formula in the dataset: 0 meV/atom

Cell: 4.1633 4.1633 4.1633 Å, 90.00 90.00 90.00°
With the nearest neighbours (Å) after each atom.
Space group Pm-3m (No. 221)
Symmetry-distinct sites (fractional):
In1 0.0000 0.0000 0.0000 [1 per cell]  12 Re 2.94
Re1 0.0000 0.5000 0.5000 [3 per cell]  2 C 2.08
C1 0.5000 0.5000 0.5000 [1 per cell]  6 Re 2.08

=====

No. 5
KLaZn2 | PBE | relaxed

Results
E: -26.06 eV for the cell shown
ΔH_f (0 K): -0.03 eV/atom
crystal system: trigonal
excess energy over the best structure of this formula in the dataset: 10 meV/atom

Cell: 4.4108 4.4108 25.3270 Å, 90.00 90.00 120.00°
With the nearest neighbours (Å) after each atom.
Space group R3m (No. 160, hexagonal axes)
Symmetry-distinct sites (fractional):
K1 0.0000 0.0000 0.0000 [3 per cell]  6 Zn 3.65
La1 0.0000 0.0000 0.8246 [3 per cell]  6 Zn 3.13
Zn1 0.0000 0.0000 0.2300 [3 per cell]  3 Zn 2.55
Zn2 0.0000 0.0000 0.5634 [3 per cell]  3 Zn 2.55

=====

No. 6
K2ScHg | PBE | relaxed

Results
E: -29.28 eV for the cell shown
ΔH_f (0 K): 0.38 eV/atom
crystal system: tetragonal
excess energy over the best structure of this formula in the dataset: 348 meV/atom

Cell: 11.5589 11.5589 5.6166 Å, 90.00 90.00 90.00°
With the nearest neighbours (Å) after each atom.
Space group I-42d (No. 122)
Symmetry-distinct sites (fractional):
K1 0.1359 0.2500 0.1250 [8 per cell]  2 Hg 3.36
Sc1 0.0000 0.0000 0.5000 [4 per cell]  2 Hg 2.81
Hg1 0.0000 0.0000 0.0000 [4 per cell]  2 Sc 2.81